## CaAc2NiO6 (GGA+U)

Data for crystalline CaAc2NiO6 at its relaxed geometry.

a = 8.0969 Å, b = 8.0969 Å, c = 8.0969 Å
α = 90.00°, β = 90.00°, γ = 90.00°
Space group Fm-3m (No. 225)
One atom of each set of equivalent atoms:
Ca  0.0000  0.0000  0.0000 (multiplicity 4)
Ac  0.2500  0.2500  0.2500 (multiplicity 8)
Ni  0.0000  0.0000  0.5000 (multiplicity 4)
O  0.0000  0.0000  0.2696 (multiplicity 24)

Results
Fermi-level density of states (states/eV/cell): 0.00
Uncorrected energy (eV/cell): -266.46
Spin magnetization (μB per formula unit): 0.00


## Ca2AcNiO5 (GGA+U)

Data for crystalline Ca2AcNiO5 at its relaxed geometry.

a = 6.6106 Å, b = 6.6106 Å, c = 11.1839 Å
α = 90.00°, β = 90.00°, γ = 90.00°
Space group I4/mcm (No. 140)
One atom of each set of equivalent atoms:
Ca  0.1750  0.3250  0.0000 (multiplicity 8)
Ac  0.0000  0.0000  0.2500 (multiplicity 4)
Ni  0.0000  0.5000  0.2500 (multiplicity 4)
O  0.0000  0.0000  0.0000 (multiplicity 4)
O  0.1509  0.3491  0.3549 (multiplicity 16)

Results
Uncorrected energy (eV/cell): -228.34
Spin magnetization (μB per formula unit): 3.04


Q: Number 1 is which compound?
A: CaAc2NiO6


Q: Which formula does entry 2 have?
A: Ca2AcNiO5


Q: Which value of uncorrected energy does entry 1 give?
A: -266.46 eV/cell